1.
A plane-wave DFT calculation with PBE was carried out for a relaxed ZrCr2In crystal.

Lattice parameters (Å, degrees): 4.8919 4.8919 5.1783 102.85 102.85 36.82
Last column: nearest neighbours and their distance in Å.
Positions (direct):
Zr 0.0000 0.0000 0.0000  6 Cr 2.83-2.93, 4 In 3.02, 2 Zr 3.09
Cr 0.2509 0.2509 0.7463  3 Zr 2.83-2.93, 3 In 2.84-2.89, 6 Cr 2.98-3.09
Cr 0.7491 0.7491 0.2537  3 Zr 2.83-2.93, 3 In 2.84-2.89, 6 Cr 2.98-3.09
In 0.5000 0.5000 0.5000  6 Cr 2.84-2.89, 4 Zr 3.02, 2 In 3.09

Formation energy from the elements (eV per atom): 0.419
Volume (Å³/atom): 18.05
Total magnetization (μB/atom): 1.197
Crystal system: monoclinic
SG: C2/m


2.
A plane-wave DFT calculation with PBE was carried out for a relaxed Cr3Ir5 crystal.

Lattice parameters (Å, degrees): 8.0119 8.0119 8.0119 152.49 152.49 39.30
Last column: nearest neighbours and their distance in Å.
Positions (direct):
Cr 0.0000 0.0000 0.0000  8 Ir 2.64-2.66, 4 Cr 2.69
Cr 0.2476 0.2476 0.0000  12 Ir 2.69-2.72
Cr 0.4969 0.4969 0.0000  8 Ir 2.63-2.67, 4 Cr 2.69
Ir 0.1212 0.6212 0.5000  6 Cr 2.64-2.70, 6 Ir 2.69-2.71
Ir 0.3766 0.8766 0.5000  6 Cr 2.63-2.72, 6 Ir 2.69-2.71
Ir 0.6212 0.1212 0.5000  6 Cr 2.64-2.70, 6 Ir 2.69-2.71
Ir 0.7491 0.7491 0.0000  4 Cr 2.69, 8 Ir 2.71
Ir 0.8766 0.3766 0.5000  6 Cr 2.63-2.72, 6 Ir 2.69-2.71

Formation energy from the elements (eV per atom): -0.202
Volume (Å³/atom): 13.69
Total magnetization (μB/atom): 0.192
Crystal system: tetragonal
SG: I4mm


3.
A plane-wave DFT calculation with PBE was carried out for a relaxed Cr3Ir7 crystal.

Lattice parameters (Å, degrees): 7.1627 7.1627 5.3862 101.59 101.59 30.91
Last column: nearest neighbours and their distance in Å.
Positions (direct):
Cr 0.0000 0.0000 0.0000  12 Ir 2.69-2.73
Cr 0.1969 0.1969 0.6059  10 Ir 2.65-2.71, 2 Cr 2.79
Cr 0.8031 0.8031 0.3941  10 Ir 2.65-2.71, 2 Cr 2.79
Ir 0.0000 0.0000 0.5000  4 Cr 2.66-2.69, 8 Ir 2.69-2.72
Ir 0.2022 0.2022 0.1102  5 Cr 2.65-2.73, 7 Ir 2.67-2.73
Ir 0.3971 0.3971 0.6944  5 Cr 2.66-2.72, 7 Ir 2.68-2.74
Ir 0.3998 0.3998 0.1988  4 Cr 2.67-2.71, 8 Ir 2.67-2.74
Ir 0.6002 0.6002 0.8012  4 Cr 2.67-2.71, 8 Ir 2.67-2.74
Ir 0.6029 0.6029 0.3056  5 Cr 2.66-2.72, 7 Ir 2.68-2.74
Ir 0.7978 0.7978 0.8898  5 Cr 2.65-2.73, 7 Ir 2.67-2.73

Formation energy from the elements (eV per atom): -0.199
Volume (Å³/atom): 13.88
Total magnetization (μB/atom): 0.389
Crystal system: monoclinic
SG: C2/m


4.
A plane-wave DFT calculation with PBE was carried out for a relaxed Cr4Ir5 crystal.

Lattice parameters (Å, degrees): 7.3018 7.3018 5.3196 90.00 90.00 120.00
Last column: nearest neighbours and their distance in Å.
Positions (direct):
Cr 0.0000 0.0000 0.0000  8 Cr 2.66-2.76, 6 Ir 2.73
Cr 0.0000 0.0000 0.5000  8 Cr 2.66-2.76, 6 Ir 2.73
Cr 0.0000 0.3318 0.2500  5 Ir 2.40-2.66
Cr 0.0000 0.6682 0.7500  5 Ir 2.40-2.66
Cr 0.3318 0.0000 0.2500  5 Ir 2.40-2.66
Cr 0.3318 0.3318 0.7500  5 Ir 2.40-2.66
Cr 0.6682 0.0000 0.7500  5 Ir 2.40-2.66
Cr 0.6682 0.6682 0.2500  5 Ir 2.40-2.66
Ir 0.0000 0.3266 0.7500  5 Cr 2.40-2.66
Ir 0.0000 0.6734 0.2500  5 Cr 2.40-2.66
Ir 0.3266 0.0000 0.7500  5 Cr 2.40-2.66
Ir 0.3266 0.3266 0.2500  5 Cr 2.40-2.66
Ir 0.3333 0.6667 0.0000  8 Ir 2.66-2.80, 6 Cr 2.78
Ir 0.3333 0.6667 0.5000  8 Ir 2.66-2.80, 6 Cr 2.78
Ir 0.6667 0.3333 0.0000  8 Ir 2.66-2.80, 6 Cr 2.78
Ir 0.6667 0.3333 0.5000  8 Ir 2.66-2.80, 6 Cr 2.78
Ir 0.6734 0.0000 0.2500  5 Cr 2.40-2.66
Ir 0.6734 0.6734 0.7500  5 Cr 2.40-2.66

Formation energy from the elements (eV per atom): -0.067
Distance to the lowest polymorph of the same formula (kJ per mole of atoms): 2.6
Volume (Å³/atom): 13.65
Total magnetization (μB/atom): 0.166
Crystal system: hexagonal
SG: P6_3/mcm


5.
A plane-wave DFT calculation with PBE was carried out for a relaxed CrIr3 crystal.

Lattice parameters (Å, degrees): 2.7173 2.7173 8.6783 90.00 90.00 120.00
Last column: nearest neighbours and their distance in Å.
Positions (direct):
Cr 0.0000 0.0000 0.0000  6 Ir 2.57, 6 Cr 2.72
Ir 0.0000 0.0000 0.5000  12 Ir 2.72-2.79
Ir 0.3333 0.6667 0.2343  3 Cr 2.57, 9 Ir 2.72-2.79
Ir 0.3333 0.6667 0.7657  3 Cr 2.57, 9 Ir 2.72-2.79

Formation energy from the elements (eV per atom): -0.131
Volume (Å³/atom): 13.87
Total magnetization (μB/atom): 0.000
Crystal system: hexagonal
SG: P-6m2


6.
A plane-wave DFT calculation with PBE was carried out for a relaxed CrIr3 crystal.

Lattice parameters (Å, degrees): 4.6802 4.6802 4.6730 100.05 100.05 33.70
Last column: nearest neighbours and their distance in Å.
Positions (direct):
Cr 0.0000 0.0000 0.0000  10 Ir 2.66-2.73, 2 Cr 2.71
Ir 0.2539 0.2539 0.7554  3 Cr 2.66-2.73, 9 Ir 2.67-2.74
Ir 0.5000 0.5000 0.5000  8 Ir 2.69-2.73, 4 Cr 2.70
Ir 0.7461 0.7461 0.2446  3 Cr 2.66-2.73, 9 Ir 2.67-2.74

Formation energy from the elements (eV per atom): -0.108
Volume (Å³/atom): 13.96
Total magnetization (μB/atom): 0.279
Crystal system: monoclinic
SG: C2/m


7.
A plane-wave DFT calculation with PBE was carried out for a relaxed CrIr5 crystal.

Lattice parameters (Å, degrees): 4.3483 7.2209 7.2209 21.92 90.00 90.00
Last column: nearest neighbours and their distance in Å.
Positions (direct):
Cr 0.0000 0.0000 0.0000  10 Ir 2.66-2.69, 2 Cr 2.75
Ir 0.0000 0.3395 0.3395  2 Cr 2.66, 10 Ir 2.68-2.85
Ir 0.0000 0.6632 0.6632  10 Ir 2.67-2.85, 2 Cr 2.69
Ir 0.5000 0.2230 0.2230  12 Ir 2.71-2.76
Ir 0.5000 0.5543 0.5543  8 Ir 2.67-2.76, 4 Cr 2.68
Ir 0.5000 0.8920 0.8920  2 Cr 2.66, 10 Ir 2.68-2.76

Formation energy from the elements (eV per atom): -0.103
Volume (Å³/atom): 14.10
Total magnetization (μB/atom): 0.000
Crystal system: orthorhombic
SG: Amm2


8.
A plane-wave DFT calculation with PBE was carried out for a relaxed CrIr5 crystal.

Lattice parameters (Å, degrees): 5.1469 5.1469 6.4319 103.74 103.74 30.83
Last column: nearest neighbours and their distance in Å.
Positions (direct):
Cr 0.0000 0.0000 0.0000  10 Ir 2.65-2.73, 2 Cr 2.74
Ir 0.0551 0.0551 0.6176  1 Cr 2.65, 11 Ir 2.67-2.77
Ir 0.3378 0.3378 0.6819  2 Cr 2.65, 10 Ir 2.67-2.85
Ir 0.3907 0.3907 0.2738  10 Ir 2.63-2.80, 2 Cr 2.66
Ir 0.6623 0.6623 0.3281  10 Ir 2.62-2.85, 2 Cr 2.69
Ir 0.7183 0.7183 0.9502  9 Ir 2.62-2.74, 3 Cr 2.65-2.73

Formation energy from the elements (eV per atom): -0.099
Volume (Å³/atom): 14.10
Total magnetization (μB/atom): 0.000
Crystal system: monoclinic
SG: Cm


9.
A plane-wave DFT calculation with PBE was carried out for a relaxed Cr4Ir5 crystal.

Lattice parameters (Å, degrees): 6.8307 6.8307 6.8307 156.84 101.02 83.65
Last column: nearest neighbours and their distance in Å.
Positions (direct):
Cr 0.0377 0.8374 0.2003  2 Cr 2.41, 5 Ir 2.52-2.66
Cr 0.3628 0.1626 0.2003  2 Cr 2.41, 5 Ir 2.52-2.66
Cr 0.6372 0.8374 0.7997  2 Cr 2.41, 5 Ir 2.52-2.66
Cr 0.9623 0.1626 0.7997  2 Cr 2.41, 5 Ir 2.52-2.66
Ir 0.0000 0.5000 0.5000  6 Ir 2.74-3.05, 8 Cr 2.77
Ir 0.2862 0.7862 0.5000  6 Cr 2.55-2.66, 2 Ir 2.74
Ir 0.3510 0.5000 0.8510  4 Cr 2.52, 3 Ir 2.59-2.74
Ir 0.6490 0.5000 0.1490  4 Cr 2.52, 3 Ir 2.59-2.74
Ir 0.7138 0.2138 0.5000  6 Cr 2.55-2.66, 2 Ir 2.74

Formation energy from the elements (eV per atom): -0.046
Distance to the lowest polymorph of the same formula (kJ per mole of atoms): 4.6
Volume (Å³/atom): 13.48
Total magnetization (μB/atom): 0.000
Crystal system: orthorhombic
SG: Immm


10.
A plane-wave DFT calculation with PBE was carried out for a relaxed CrIr3 crystal.

Lattice parameters (Å, degrees): 3.2880 3.2880 5.3572 90.00 90.00 90.00
Last column: nearest neighbours and their distance in Å.
Positions (direct):
Cr 0.0000 0.0000 0.0000  10 Ir 2.67-2.68
Ir 0.0000 0.0000 0.5000  2 Cr 2.68, 8 Ir 2.70
Ir 0.5000 0.5000 0.2456  6 Ir 2.63-2.73, 4 Cr 2.67
Ir 0.5000 0.5000 0.7544  6 Ir 2.63-2.73, 4 Cr 2.67

Formation energy from the elements (eV per atom): 0.211
Volume (Å³/atom): 14.48
Total magnetization (μB/atom): 0.387
Crystal system: tetragonal
SG: P4/mmm


11.
A plane-wave DFT calculation with PBE was carried out for a relaxed CrIr3 crystal.

Lattice parameters (Å, degrees): 4.8768 4.8768 4.8768 90.00 90.00 90.00
Last column: nearest neighbours and their distance in Å.
Positions (direct):
Cr 0.0000 0.0000 0.0000  12 Ir 2.73
Cr 0.5000 0.5000 0.5000  12 Ir 2.73
Ir 0.0000 0.2500 0.5000  2 Ir 2.44, 4 Cr 2.73
Ir 0.0000 0.7500 0.5000  2 Ir 2.44, 4 Cr 2.73
Ir 0.2500 0.5000 0.0000  2 Ir 2.44, 4 Cr 2.73
Ir 0.5000 0.0000 0.2500  2 Ir 2.44, 4 Cr 2.73
Ir 0.5000 0.0000 0.7500  2 Ir 2.44, 4 Cr 2.73
Ir 0.7500 0.5000 0.0000  2 Ir 2.44, 4 Cr 2.73

Formation energy from the elements (eV per atom): 0.303
Volume (Å³/atom): 14.50
Total magnetization (μB/atom): 0.226
Crystal system: cubic
SG: Pm-3n


12.
A plane-wave DFT calculation with PBE was carried out for a relaxed CrIr3 crystal.

Lattice parameters (Å, degrees): 5.0835 5.0835 5.0835 116.91 116.91 116.91
Last column: nearest neighbours and their distance in Å.
Positions (direct):
Cr 0.0000 0.0000 0.0000  6 Ir 2.66, 2 Cr 2.71
Ir 0.0000 0.5000 0.5000  6 Ir 2.66-2.71, 2 Cr 2.66
Ir 0.5000 0.0000 0.5000  2 Cr 2.66, 6 Ir 2.66-2.71
Ir 0.5000 0.5000 0.0000  6 Ir 2.66-2.71, 2 Cr 2.66

Formation energy from the elements (eV per atom): 0.386
Volume (Å³/atom): 14.70
Total magnetization (μB/atom): 0.685
Crystal system: trigonal
SG: R-3m